# 1
Material: Mg2BC
Method: DFT, GGA-PBE
State: relaxed

Results
Distance to the lowest polymorph of the same formula, meV per atom: 140
Space group: R3m, No. 160
Energy of formation, eV/f.u.: 0.90
N(E_F), states/eV per cell: 3.328
Calculated volume, Å³ per atom: 14.99

Cell: 3.752 3.752 14.762 Å, 90.00 90.00 120.00°
Element x y z (fractional)
B1 0.667 0.333 0.981
B2 0.333 0.667 0.314
B3 0.000 0.000 0.647
Mg1 0.667 0.333 0.224
Mg2 0.667 0.333 0.727
Mg3 0.000 0.000 0.393
Mg4 0.000 0.000 0.891
Mg5 0.333 0.667 0.060
Mg6 0.333 0.667 0.557
C1 0.333 0.667 0.411
C2 0.000 0.000 0.745
C3 0.667 0.333 0.078


# 2
Material: CoC3
Method: DFT, GGA-PBE
State: relaxed

Results
Distance to the lowest polymorph of the same formula, meV per atom: 1220
Space group: Cmmm, No. 65
Energy of formation, eV/f.u.: 7.35
N(E_F), states/eV per cell: 2.483
Calculated volume, Å³ per atom: 9.46

Cell: 3.287 3.287 5.260 Å, 90.00 90.00 138.26°
Site moments in Bohr magnetons follow the coordinates.
Element x y z (fractional)
C1 0.000 0.000 0.555  -0.02
C2 0.500 0.500 0.750  0.00
C3 0.000 0.000 0.945  -0.02
Co1 0.500 0.500 0.250  0.84


# 3
Material: CsSeCl4
Method: DFT, GGA-PBE
State: relaxed

Results
Distance to the lowest polymorph of the same formula, meV per atom: 0
Space group: C2/c, No. 15
Uncorrected formation energy, eV per atom: -0.856
Calculated volume, Å³ per atom: 41.68

Cell: 6.157 6.157 14.129 Å, 75.74 75.74 80.58°
Site moments in Bohr magnetons follow the coordinates.
Element x y z (fractional)
Cl1 0.579 0.507 0.357  0.07
Cl2 0.998 0.920 0.642  0.07
Cl3 0.493 0.421 0.143  0.07
Cl4 0.920 0.998 0.142  0.07
Cl5 0.507 0.579 0.857  0.07
Cl6 0.421 0.493 0.643  0.07
Cl7 0.080 0.002 0.858  0.07
Cl8 0.002 0.080 0.358  0.07
Se1 0.749 0.251 0.250  0.40
Se2 0.251 0.749 0.750  0.40
Cs1 0.500 0.000 0.000  0.00
Cs2 0.000 0.500 0.500  0.00


# 4
Material: Ti3In3Co
Method: DFT, GGA-PBE
State: relaxed

Results
Space group: P6_3/mmc, No. 194
Energy of formation, eV/f.u.: 0.06
N(E_F), states/eV per cell: 17.872
Calculated volume, Å³ per atom: 19.36

Cell: 3.952 8.900 8.900 Å, 120.00 90.00 90.00°
Site moments in Bohr magnetons follow the coordinates.
Element x y z (fractional)
Ti1 0.750 0.562 0.123  0.05
Ti2 0.250 0.123 0.562  0.05
Ti3 0.750 0.877 0.438  0.05
Ti4 0.250 0.438 0.877  0.05
Ti5 0.250 0.438 0.562  0.05
Ti6 0.750 0.562 0.438  0.05
In1 0.250 0.320 0.160  0.00
In2 0.750 0.160 0.320  0.00
In3 0.750 0.160 0.840  0.00
In4 0.250 0.840 0.680  0.00
In5 0.250 0.840 0.160  0.00
In6 0.750 0.680 0.840  0.00
Co1 0.750 0.333 0.667  0.08
Co2 0.250 0.667 0.333  0.08


# 5
Material: Tb8OsPd2
Method: DFT, GGA-PBE
State: relaxed

Results
Distance to the lowest polymorph of the same formula, meV per atom: 0
Space group: C2/m, No. 12
Energy of formation, eV/f.u.: -4.17
N(E_F), states/eV per cell: 12.604
Calculated volume, Å³ per atom: 26.21

Cell: 5.094 6.799 9.027 Å, 105.30 106.39 90.00°
Element x y z (fractional)
Tb1 0.590 0.436 0.179
Tb2 0.664 0.970 0.329
Tb3 0.032 0.794 0.063
Tb4 0.336 0.030 0.671
Tb5 0.968 0.206 0.937
Tb6 0.799 0.684 0.598
Tb7 0.201 0.316 0.402
Tb8 0.410 0.564 0.821
Pd1 0.189 0.717 0.377
Pd2 0.811 0.283 0.623
Os1 0.500 0.000 0.000


# 6
Material: Na6MgCl8
Method: DFT, GGA-PBE
State: relaxed

Results
Space group: Fm-3m, No. 225
Uncorrected formation energy, eV per atom: -1.823
N(E_F), states/eV per cell: 0.000
Calculated volume, Å³ per atom: 24.07

Cell: 7.993 7.993 7.993 Å, 60.00 60.00 60.00°
Element x y z (fractional)
Cl1 0.774 0.774 0.226
Cl2 0.774 0.226 0.226
Cl3 0.750 0.750 0.750
Cl4 0.774 0.226 0.774
Cl5 0.226 0.774 0.226
Cl6 0.250 0.250 0.250
Cl7 0.226 0.774 0.774
Cl8 0.226 0.226 0.774
Na1 0.500 0.500 0.000
Na2 0.000 0.000 0.500
Na3 0.500 0.000 0.000
Na4 0.000 0.500 0.500
Na5 0.000 0.500 0.000
Na6 0.500 0.000 0.500
Mg1 0.000 0.000 0.000


# 7
Material: CeTmCu2Si2
Method: DFT, GGA-PBE
State: relaxed

Results
Space group: P-3m1, No. 164
Uncorrected formation energy, eV per atom: -0.621
N(E_F), states/eV per cell: 6.139
Calculated volume, Å³ per atom: 18.83

Cell: 4.144 4.144 7.596 Å, 90.00 90.00 120.00°
Site moments in Bohr magnetons follow the coordinates.
Element x y z (fractional)
Si1 0.667 0.333 0.743  -0.01
Si2 0.333 0.667 0.257  -0.01
Ce1 0.000 0.000 0.000  0.57
Tm1 0.000 0.000 0.500  0.03
Cu1 0.667 0.333 0.265  0.00
Cu2 0.333 0.667 0.735  0.00


# 8
Material: Er2Cd3Ag4
Method: DFT, GGA-PBE
State: relaxed

Results
Distance to the lowest polymorph of the same formula, meV per atom: 68
Space group: Cmce, No. 64
Energy of formation, eV/f.u.: -1.47
N(E_F), states/eV per cell: 9.285
Calculated volume, Å³ per atom: 22.18

Cell: 5.837 7.976 9.057 Å, 90.00 108.80 90.00°
Element x y z (fractional)
Ag1 0.836 0.023 0.673
Ag2 0.336 0.477 0.673
Ag3 0.164 0.977 0.327
Ag4 0.822 0.250 0.143
Ag5 0.678 0.750 0.857
Ag6 0.178 0.750 0.857
Ag7 0.664 0.523 0.327
Ag8 0.322 0.250 0.143
Er1 0.404 0.105 0.808
Er2 0.096 0.605 0.192
Er3 0.904 0.395 0.808
Er4 0.596 0.895 0.192
Cd1 0.000 0.000 0.000
Cd2 0.989 0.250 0.479
Cd3 0.511 0.750 0.521
Cd4 0.500 0.500 0.000
Cd5 0.011 0.750 0.521
Cd6 0.489 0.250 0.479


# 9
Material: AcLa2YS6
Method: DFT, GGA-PBE
State: relaxed

Results
Space group: R3, No. 146
Uncorrected formation energy, eV per atom: -2.111
N(E_F), states/eV per cell: 0.000
Calculated volume, Å³ per atom: 29.40

Cell: 7.309 7.309 7.628 Å, 61.36 61.37 60.00°
Element x y z (fractional)
S1 0.211 0.936 0.249
S2 0.604 0.211 0.249
S3 0.704 0.138 0.756
S4 0.138 0.403 0.756
S5 0.936 0.604 0.249
S6 0.403 0.704 0.755
La1 0.019 0.019 0.944
La2 0.524 0.524 0.428
Y1 0.316 0.316 0.051
Ac1 0.807 0.807 0.578


# 10
Material: LaDy2Ir
Method: DFT, GGA-PBE
State: relaxed

Results
Distance to the lowest polymorph of the same formula, meV per atom: 37
Space group: Cmcm, No. 63
Energy of formation, eV/f.u.: -2.05
N(E_F), states/eV per cell: 11.547
Calculated volume, Å³ per atom: 28.24

Cell: 3.897 6.474 9.388 Å, 90.00 90.00 107.47°
Element x y z (fractional)
Dy1 0.355 0.709 0.932
Dy2 0.645 0.291 0.068
Dy3 0.355 0.709 0.568
Dy4 0.645 0.291 0.432
Ir1 0.247 0.494 0.250
Ir2 0.753 0.506 0.750
La1 0.075 0.149 0.750
La2 0.925 0.851 0.250


# 11
Material: CeTiIn
Method: DFT, GGA-PBE
State: relaxed

Results
Distance to the lowest polymorph of the same formula, meV per atom: 203
Space group: P3m1, No. 156
Energy of formation, eV/f.u.: 0.26
N(E_F), states/eV per cell: 5.859
Calculated volume, Å³ per atom: 22.51

Cell: 3.041 5.064 5.064 Å, 120.00 90.00 90.00°
Site moments in Bohr magnetons follow the coordinates.
Element x y z (fractional)
In1 0.666 0.667 0.333  -0.03
Ce1 0.166 0.000 0.000  0.71
Ti1 0.168 0.333 0.667  0.70


# 12
Material: AcCr4Se8
Method: DFT, GGA-PBE
State: relaxed

Results
Space group: R-3m, No. 166
Uncorrected formation energy, eV per atom: -0.780
N(E_F), states/eV per cell: 7.649
Calculated volume, Å³ per atom: 25.66

Cell: 7.344 7.344 8.305 Å, 63.76 63.76 60.00°
Site moments in Bohr magnetons follow the coordinates.
Element x y z (fractional)
Se1 0.732 0.732 0.803  -0.20
Se2 0.229 0.738 0.804  -0.12
Se3 0.771 0.771 0.196  -0.12
Se4 0.229 0.229 0.804  -0.12
Se5 0.268 0.268 0.197  -0.20
Se6 0.262 0.771 0.196  -0.12
Se7 0.771 0.262 0.196  -0.12
Se8 0.738 0.229 0.804  -0.12
Cr1 0.000 0.500 0.000  2.90
Cr2 0.000 0.000 0.000  2.90
Cr3 0.500 0.500 0.000  2.90
Cr4 0.500 0.000 0.000  2.90
Ac1 0.500 0.500 0.500  -0.01


# 13
Material: Er4Bi5H
Method: DFT, GGA-PBE
State: relaxed

Results
Space group: C2/m, No. 12
DFT total energy, eV for the cell shown: -43.84
N(E_F), states/eV per cell: 8.340
Calculated volume, Å³ per atom: 28.42

Cell: 3.490 9.192 9.035 Å, 91.83 101.14 90.00°
Element x y z (fractional)
Bi1 0.500 0.500 0.000
Bi2 0.848 0.628 0.696
Bi3 0.152 0.372 0.304
Bi4 0.188 0.776 0.375
Bi5 0.812 0.224 0.625
Er1 0.349 0.939 0.698
Er2 0.012 0.814 0.023
Er3 0.988 0.186 0.977
Er4 0.651 0.061 0.302
H1 0.500 0.000 0.000


# 14
Material: SrIn3Os
Method: DFT, GGA-PBE
State: relaxed

Results
Distance to the lowest polymorph of the same formula, meV per atom: 0
Space group: Pm-3m, No. 221
Energy of formation, eV/f.u.: -0.12
N(E_F), states/eV per cell: 6.189
Calculated volume, Å³ per atom: 28.23

Cell: 5.207 5.207 5.207 Å, 90.00 90.00 90.00°
Element x y z (fractional)
In1 0.000 0.500 0.000
In2 0.500 0.000 0.000
In3 0.000 0.000 0.500
Os1 0.000 0.000 0.000
Sr1 0.500 0.500 0.500


# 15
Material: NaYPPb2
Method: DFT, GGA-PBE
State: relaxed

Results
Space group: P4/mmm, No. 123
Energy of formation, eV/f.u.: 3.90
N(E_F), states/eV per cell: 4.565
Calculated volume, Å³ per atom: 30.62

Cell: 5.216 5.629 5.216 Å, 90.00 90.00 90.00°
Element x y z (fractional)
Na1 0.000 0.000 0.000
Y1 0.000 0.500 0.000
P1 0.500 0.500 0.500
Pb1 0.000 0.000 0.500
Pb2 0.500 0.000 0.000


# 16
Material: Li3Ag8Sb2
Method: DFT, GGA-PBE
State: relaxed

Results
Space group: R-3m, No. 166
Uncorrected formation energy, eV per atom: 0.000
N(E_F), states/eV per cell: 5.047
Calculated volume, Å³ per atom: 20.29

Cell: 5.531 5.531 10.458 Å, 74.67 74.67 60.00°
Element x y z (fractional)
Li1 0.808 0.808 0.577
Li2 0.192 0.192 0.423
Li3 0.000 0.000 0.000
Ag1 0.789 0.286 0.639
Ag2 0.286 0.789 0.639
Ag3 0.714 0.714 0.361
Ag4 0.721 0.721 0.837
Ag5 0.286 0.286 0.639
Ag6 0.211 0.714 0.361
Ag7 0.714 0.211 0.361
Ag8 0.279 0.279 0.163
Sb1 0.626 0.626 0.123
Sb2 0.374 0.374 0.877


# 17
Material: Al2PBr
Method: DFT, GGA-PBE
State: relaxed

Results
Distance to the lowest polymorph of the same formula, meV per atom: 209
Space group: P2/m, No. 10
Uncorrected formation energy, eV per atom: -0.053
N(E_F), states/eV per cell: 1.558
Calculated volume, Å³ per atom: 19.92

Cell: 3.408 6.908 3.384 Å, 89.95 90.00 90.00°
Element x y z (fractional)
P1 0.500 0.750 0.750
Br1 0.500 0.250 0.250
Al1 0.000 0.567 0.246
Al2 0.000 0.933 0.254


# 18
Material: Er4TmIn
Method: DFT, GGA-PBE
State: relaxed

Results
Distance to the lowest polymorph of the same formula, meV per atom: 0
Space group: P4/mmm, No. 123
Energy of formation, eV/f.u.: -0.89
N(E_F), states/eV per cell: 5.664
Calculated volume, Å³ per atom: 29.18

Cell: 3.525 3.525 14.091 Å, 90.00 90.00 90.00°
Element x y z (fractional)
Tm1 0.000 0.000 0.000
Er1 0.500 0.500 0.825
Er2 0.000 0.000 0.350
Er3 0.500 0.500 0.175
Er4 0.000 0.000 0.650
In1 0.500 0.500 0.500


# 19
Material: LiSc2Tl
Method: DFT, GGA-PBE
State: relaxed

Results
Space group: R3m, No. 160
Energy of formation, eV/f.u.: -0.04
N(E_F), states/eV per cell: 3.981
Calculated volume, Å³ per atom: 23.96

Cell: 10.328 10.328 10.328 Å, 18.40 18.40 18.40°
Site moments in Bohr magnetons follow the coordinates.
Element x y z (fractional)
Sc1 0.999 0.999 0.999  0.30
Sc2 0.249 0.249 0.249  0.31
Li1 0.755 0.755 0.755  0.01
Tl1 0.497 0.497 0.497  0.01


# 20
Material: ScCr2Au
Method: DFT, GGA-PBE
State: relaxed

Results
Distance to the lowest polymorph of the same formula, meV per atom: 473
Space group: P4/mmm, No. 123
Energy of formation, eV/f.u.: 1.71
N(E_F), states/eV per cell: 6.257
Calculated volume, Å³ per atom: 17.40

Cell: 3.496 3.496 5.695 Å, 90.00 90.00 90.00°
Element x y z (fractional)
Sc1 0.500 0.500 0.250
Cr1 0.000 0.000 0.576
Cr2 0.000 0.000 0.924
Au1 0.500 0.500 0.750


# 21
Material: Ho2GaAs
Method: DFT, GGA-PBE
State: relaxed

Results
Distance to the lowest polymorph of the same formula, meV per atom: 619
Space group: R-3m, No. 166
Energy of formation, eV/f.u.: -1.78
N(E_F), states/eV per cell: 4.021
Calculated volume, Å³ per atom: 29.76

Cell: 3.818 3.818 9.683 Å, 78.63 78.63 60.00°
Element x y z (fractional)
Ga1 0.000 0.000 0.000
As1 0.500 0.500 0.500
Ho1 0.894 0.894 0.318
Ho2 0.106 0.106 0.682


# 22
Material: Tb12Y7Er
Method: DFT, GGA-PBE
State: relaxed

Results
Distance to the lowest polymorph of the same formula, meV per atom: 0
Space group: R-3, No. 148
Energy of formation, eV/f.u.: 5.93
N(E_F), states/eV per cell: 19.174
Calculated volume, Å³ per atom: 32.70

Cell: 8.713 8.713 8.713 Å, 94.85 94.85 94.85°
Element x y z (fractional)
Tb1 0.749 0.318 0.188
Tb2 0.812 0.251 0.682
Tb3 0.523 0.855 0.587
Tb4 0.413 0.477 0.145
Tb5 0.855 0.587 0.523
Tb6 0.188 0.749 0.318
Tb7 0.682 0.812 0.251
Tb8 0.251 0.682 0.812
Tb9 0.318 0.188 0.749
Tb10 0.145 0.413 0.477
Tb11 0.587 0.523 0.855
Tb12 0.477 0.145 0.413
Y1 0.349 0.016 0.081
Y2 0.500 0.500 0.500
Y3 0.081 0.349 0.016
Y4 0.984 0.919 0.651
Y5 0.651 0.984 0.919
Y6 0.919 0.651 0.984
Y7 0.016 0.081 0.349
Er1 0.000 0.000 0.000


# 23
Material: Rb2NbV
Method: DFT, GGA-PBE
State: relaxed

Results
Distance to the lowest polymorph of the same formula, meV per atom: 0
Space group: I-42d, No. 122
Energy of formation, eV/f.u.: 6.04
N(E_F), states/eV per cell: 12.992
Calculated volume, Å³ per atom: 53.02

Cell: 13.744 13.744 9.975 Å, 46.45 46.45 90.00°
Site moments in Bohr magnetons follow the coordinates.
Element x y z (fractional)
Nb1 0.000 0.000 0.000  -0.42
Nb2 0.750 0.250 0.500  -0.42
V1 0.500 0.500 0.000  1.30
V2 0.250 0.750 0.500  1.30
Rb1 0.447 0.125 0.250  0.01
Rb2 0.375 0.553 0.750  0.01
Rb3 0.875 0.697 0.750  0.01
Rb4 0.303 0.625 0.250  0.01